VASP calculation (PBE) on a geometry-optimized Mg2BrN structure.

Structure (POSCAR):
```
Mg2BrN
1.0
-1.990 -1.815 -2.422
1.513 -1.170 -3.077
1.592 -7.213 1.385
Mg Br N
2 1 1
Cartesian
1.338 -4.280 -1.528
-0.892 -2.124 -1.317
-0.103 -6.491 -1.398
0.865 -2.601 -2.404
```

Summary:
DFT total energy ... -4.021 eV per atom
Raw formation energy ... -2.90 eV/f.u.
Relative energy among the computed polymorphs ... 0.221 eV/atom
SG ... Cm (8)